This record from Alexandria describes crystalline CrHgTeF2 at its relaxed geometry. The functional is GGA+U.

```
CrHgTeF2
1.0
4.030 0.000 0.000
0.000 4.030 0.000
0.000 0.000 7.432
Cr Hg Te F
1 1 1 2
direct
0.000 0.000 0.000
0.000 0.000 0.500
0.500 0.500 0.500
0.000 0.500 0.000
0.500 0.000 0.000
```

Output
Energy (eV/atom): -4.338
DOS at the Fermi energy (states/eV per atom): 0.3576
M_tot (μB per cell): 4.0
Offset from the most stable computed form (eV/atom): 0.086